First-principles (PBE with a Hubbard U) data for a relaxed structure of SrTbFe2O5, as listed in the Alexandria database.

Cell: 3.943 3.943 7.525 Å, 90.00 90.00 90.00°
Space group P4/mmm (No. 123)
Asymmetric unit:
Sr  0.000  0.000  0.000 [1 per cell]
Tb  0.000  0.000  0.500 [1 per cell]
Fe  0.500  0.500  0.267 [2 per cell]
O  0.000  0.500  0.310 [4 per cell]
O  0.500  0.500  0.000 [1 per cell]

N(E_F) (states/eV/f.u.): 0.0
E_tot (eV per cell): -62.99